Crystalline PmHgN at its relaxed geometry, computed with PBE.

Summary:
Uncorrected formation energy, eV/f.u.: -1.6
M_tot, Bohr magnetons per cell: 0.000
Polymorph energy (0 for the lowest one), meV/atom: 0
Raw total energy, eV per atom: -4.9950

a b c (Å): 7.4605 7.4605 7.4605
angles (deg): 148.72 139.06 52.41
With the nearest neighbours (Å) after each atom.
Fractional positions:
Pm 0.1980 0.1980 0.0000  2 N 2.29
Pm 0.8020 0.8020 0.0000  2 N 2.29
Hg 0.2534 0.5000 0.7534  2 Hg 2.57-2.64
Hg 0.7466 0.5000 0.2466  2 Hg 2.57-2.64
N 0.2794 0.7794 0.5000  2 Pm 2.29
N 0.7206 0.2206 0.5000  2 Pm 2.29